A plane-wave DFT calculation with PBE was carried out for crystalline Pr3Dy2Ho6Zr at its relaxed geometry.

The calculation puts the energy of formation at 47 meV per atom.

a b c (Å): 6.1429 6.1429 11.6924
angles (deg): 95.02 95.02 119.95
Element x y z (fractional)
Pr (0.1659, 0.8341, 0.5000)
Pr (0.8341, 0.1659, 0.5000)
Pr (0.5000, 0.5000, 0.5000)
Dy (0.3333, 0.6667, 0.0000)
Dy (0.6667, 0.3333, 0.0000)
Ho (0.9202, 0.5939, 0.7594)
Ho (0.7537, 0.7537, 0.2404)
Ho (0.0798, 0.4061, 0.2406)
Ho (0.5939, 0.9202, 0.7594)
Ho (0.2463, 0.2463, 0.7596)
Ho (0.4061, 0.0798, 0.2406)
Zr (0.0000, 0.0000, 0.0000)

A plane-wave DFT calculation with PBE was carried out for crystalline TbHoTc4 at its relaxed geometry.

The calculation puts the energy of formation at -140 meV per atom.

a b c (Å): 5.4052 5.4052 5.4052
angles (deg): 60.00 60.00 60.00
Element x y z (fractional)
Tb (0.0000, 0.0000, 0.0000)
Ho (0.2500, 0.2500, 0.2500)
Tc (0.6250, 0.6250, 0.1251)
Tc (0.6250, 0.1251, 0.6250)
Tc (0.6250, 0.6250, 0.6250)
Tc (0.1251, 0.6250, 0.6250)

A plane-wave DFT calculation with PBE was carried out for crystalline CeGeI6 at its relaxed geometry.

Its uncorrected formation energy is -0.799 eV per atom.

a b c (Å): 7.9177 7.9177 7.4704
angles (deg): 98.22 98.22 123.69
Element x y z (fractional)
Ce (0.5000, 0.5000, 0.5000)
Ge (0.0000, 0.0000, 0.0000)
I (0.6053, 0.9020, 0.7542)
I (0.9020, 0.6053, 0.7542)
I (0.0980, 0.3947, 0.2458)
I (0.3947, 0.0980, 0.2458)
I (0.2507, 0.2507, 0.7493)
I (0.7493, 0.7493, 0.2507)

A plane-wave DFT calculation with PBE was carried out for crystalline Ba2GdH at its relaxed geometry.

The total energy is -5.1716 eV per atom.

a b c (Å): 3.8891 3.8891 10.8414
angles (deg): 79.67 79.67 60.00
Element x y z (fractional)
H (0.5000, 0.5000, 0.5000)
Gd (0.0000, 0.0000, 0.0000)
Ba (0.1139, 0.1139, 0.6584)
Ba (0.8861, 0.8861, 0.3416)

A plane-wave DFT calculation with PBE was carried out for crystalline Tb2ZrSn at its relaxed geometry.

For the offset from the most stable computed form, the calculation gives 424 meV/atom. The calculation puts the energy of formation at 89 meV per atom.

a b c (Å): 3.4121 3.4121 11.7734
angles (deg): 81.67 81.67 60.00
Element x y z (fractional)
Tb (0.0907, 0.0907, 0.7278)
Tb (0.9093, 0.9093, 0.2722)
Sn (0.0000, 0.0000, 0.0000)
Zr (0.5000, 0.5000, 0.5000)

A plane-wave DFT calculation with PBE was carried out for crystalline CeSc5Ga6 at its relaxed geometry.

The calculation puts the energy of formation at -560 meV per atom.

a b c (Å): 4.8469 6.7221 8.3793
angles (deg): 113.65 106.55 90.00
Element x y z (fractional)
Sc (0.3408, 0.8408, 0.6816)
Sc (0.6698, 0.6696, 0.3393)
Sc (0.0000, 0.5000, 0.0000)
Sc (0.3302, 0.3304, 0.6607)
Sc (0.6592, 0.1592, 0.3184)
Ce (0.0000, 0.0000, 0.0000)
Ga (0.1735, 0.4367, 0.3473)
Ga (0.1735, 0.9106, 0.3473)
Ga (0.5000, 0.2768, 0.0000)
Ga (0.5000, 0.7232, 0.0000)
Ga (0.8265, 0.0894, 0.6527)
Ga (0.8265, 0.5633, 0.6527)

A plane-wave DFT calculation with PBE was carried out for crystalline Ce2Ga5Co at its relaxed geometry.

The calculation puts the energy of formation at -379 meV per atom.

a b c (Å): 6.2171 6.2171 6.2171
angles (deg): 86.89 121.81 121.81
Element x y z (fractional)
Ce (0.5000, 0.2416, 0.7416)
Ce (0.5000, 0.7416, 0.2416)
Ga (0.4448, 0.7119, 0.7119)
Ga (0.0000, 0.7119, 0.2671)
Ga (0.0000, 0.2671, 0.7119)
Ga (0.5552, 0.2671, 0.2671)
Ga (0.0000, 0.2706, 0.2706)
Co (0.0000, 0.0102, 0.0102)

A plane-wave DFT calculation with PBE was carried out for crystalline NaSm2I6 at its relaxed geometry.

Its uncorrected formation energy is -1.285 eV per atom.

a b c (Å): 7.6035 7.6775 7.6775
angles (deg): 120.00 90.00 90.00
Element x y z (fractional)
Na (0.0000, 0.0000, 0.0000)
Sm (0.5000, 0.6667, 0.3333)
Sm (0.5000, 0.3333, 0.6667)
I (0.7434, 0.6569, 0.6569)
I (0.2566, 0.6569, 0.0000)
I (0.2566, 0.0000, 0.6569)
I (0.7434, 0.3431, 0.0000)
I (0.2566, 0.3431, 0.3431)
I (0.7434, 0.0000, 0.3431)